No. 1
Tm4ZnIn2 | PBE-GGA | relaxed

Lattice parameters (Å, degrees): 5.1265 5.1265 8.8548 73.17 73.17 60.00
Last column: nearest neighbours and their distance in Å.
Element x y z (fractional)
Tm 0.8748 0.8748 0.3755  4 In 3.11-3.13, 1 Zn 3.13
Tm 0.1252 0.1252 0.6245  4 In 3.11-3.13, 1 Zn 3.13
Tm 0.6241 0.6241 0.1277  4 In 3.14-3.17, 3 Zn 3.15
Tm 0.3759 0.3759 0.8723  4 In 3.14-3.17, 3 Zn 3.15
Zn 0.0000 0.0000 0.0000  8 Tm 3.13-3.15
In 0.7506 0.7506 0.7483  8 Tm 3.11-3.17
In 0.2494 0.2494 0.2517  8 Tm 3.11-3.17

Summary:
Energy above the lowest structure with this stoichiometry, eV per atom: 0.003
E_form, meV/atom: -261
Uncorrected energy, eV for the cell shown: -26.47

No. 2
Tm12Zn2In5 | PBE-GGA | relaxed

Lattice parameters (Å, degrees): 6.9401 9.1683 8.9166 83.06 90.00 112.24
Last column: nearest neighbours and their distance in Å.
Element x y z (fractional)
Tm 0.9637 0.9275 0.1825  2 Zn 2.83, 1 In 2.97
Tm 0.0891 0.6907 0.9268  1 Zn 2.85
Tm 0.6016 0.6907 0.9268  1 Zn 2.85
Tm 0.1000 0.6955 0.5176  4 In 3.11-3.37, 2 Tm 3.37-3.44
Tm 0.5955 0.6955 0.5176  4 In 3.11-3.37, 2 Tm 3.37-3.44
Tm 0.4957 0.9915 0.6919  2 Zn 3.00
Tm 0.5043 0.0085 0.3081  2 Zn 3.00
Tm 0.9000 0.3045 0.4824  4 In 3.11-3.37, 2 Tm 3.37-3.44
Tm 0.4045 0.3045 0.4824  4 In 3.11-3.37, 2 Tm 3.37-3.44
Tm 0.9109 0.3093 0.0732  1 Zn 2.85
Tm 0.3984 0.3093 0.0732  1 Zn 2.85
Tm 0.0363 0.0725 0.8175  2 Zn 2.83, 1 In 2.97
Zn 0.6702 0.0000 0.0000  1 Zn 2.36
Zn 0.3298 0.0000 0.0000  1 Zn 2.36
In 0.2252 0.4504 0.7557  9 Tm 3.18-3.38, 2 In 3.49
In 0.2986 0.5973 0.2375  8 Tm 3.23-3.55, 2 In 3.49
In 0.0000 0.0000 0.5000  6 Tm 2.97-3.11
In 0.7014 0.4027 0.7625  8 Tm 3.23-3.55, 2 In 3.49
In 0.7748 0.5496 0.2443  9 Tm 3.18-3.38, 2 In 3.49

Summary:
E_form, meV/atom: -198
Uncorrected energy, eV for the cell shown: -73.66

No. 3
Tm3Zn4In2 | PBE-GGA | relaxed

Lattice parameters (Å, degrees): 4.6023 5.7609 8.7246 113.07 90.00 113.54
Last column: nearest neighbours and their distance in Å.
Element x y z (fractional)
Tm 0.6637 0.3275 0.6738  8 Zn 2.97-3.25, 4 In 3.14-3.26
Tm 0.0000 0.0000 0.0000  8 Zn 3.15-3.36, 4 In 3.18, 2 Tm 3.47
Tm 0.3363 0.6725 0.3262  8 Zn 2.97-3.25, 4 In 3.14-3.26
Zn 0.7145 0.4291 0.0364  2 Zn 2.58, 1 In 2.74
Zn 0.2855 0.5709 0.9636  2 Zn 2.58, 1 In 2.74
Zn 0.9289 0.8579 0.5860  1 Zn 2.54, 2 In 2.71
Zn 0.0711 0.1421 0.4140  1 Zn 2.54, 2 In 2.71
In 0.6142 0.2285 0.2781  3 Zn 2.71-2.74
In 0.3858 0.7715 0.7219  3 Zn 2.71-2.74

Summary:
E_form, meV/atom: -393
Uncorrected energy, eV for the cell shown: -27.52